A plane-wave DFT calculation with GGA-PBE was carried out for ZrScCu after structural relaxation.

## Properties
Theoretical density   5.751 Mg/m³
SG   I4mm
Distance to the lowest polymorph of the same formula   5.8 meV/atom
Formation energy   -0.4 eV per formula unit

Lattice parameters (Å, degrees): 6.1066 6.1066 6.1066 149.74 149.74 43.32
Closest atoms and distances in Å follow each position.
Positions (direct):
Zr  0.0000  0.0000  0.0000  4 Cu 2.85, 4 Sc 3.16, 4 Zr 3.19
Sc  0.6954  0.6954  0.0000  4 Cu 2.83, 4 Zr 3.16
Cu  0.3467  0.3467  0.0000  4 Sc 2.83, 4 Zr 2.85


A plane-wave DFT calculation with GGA-PBE was carried out for ErCuGeTe2Se after structural relaxation.

## Properties
Theoretical density   7.069 Mg/m³
VASP energy   -4.389 eV per atom
SG   Cmcm

Lattice parameters (Å, degrees): 7.3841 7.3841 10.3706 90.00 90.00 148.01
Closest atoms and distances in Å follow each position.
Positions (direct):
Er  0.0000  0.0000  0.0000  2 Se 2.83, 4 Te 3.06
Er  0.0000  0.0000  0.5000  2 Se 2.83, 4 Te 3.06
Cu  0.4785  0.5215  0.7500  2 Se 2.50, 2 Te 2.66
Cu  0.5215  0.4785  0.2500  2 Se 2.50, 2 Te 2.66
Ge  0.2399  0.7601  0.2500  4 Te 3.04, 2 Se 3.26
Ge  0.7601  0.2399  0.7500  4 Te 3.04, 2 Se 3.26
Te  0.3468  0.6532  0.5672  1 Cu 2.66
Te  0.3468  0.6532  0.9328  1 Cu 2.66
Te  0.6532  0.3468  0.0672  1 Cu 2.66
Te  0.6532  0.3468  0.4328  1 Cu 2.66
Se  0.0806  0.9194  0.7500  2 Cu 2.50
Se  0.9194  0.0806  0.2500  2 Cu 2.50


A plane-wave DFT calculation with GGA-PBE was carried out for LiErNO after structural relaxation.

## Properties
Theoretical density   7.047 Mg/m³
SG   P4/mmm
Distance to the lowest polymorph of the same formula   56.8 meV/atom

Lattice parameters (Å, degrees): 3.3086 3.3086 4.3956 90.00 90.00 90.00
Closest atoms and distances in Å follow each position.
Positions (direct):
Li  0.0000  0.0000  0.0000  2 N 2.20, 4 O 2.34
Er  0.5000  0.5000  0.5000  2 O 2.20, 4 N 2.34
N  0.0000  0.0000  0.5000  2 Li 2.20, 4 Er 2.34
O  0.5000  0.5000  0.0000  2 Er 2.20, 4 Li 2.34


Q: The lowest theoretical density belongs to which entry?
A: ZrScCu


Q: The lowest theoretical density belongs to which entry?
A: ZrScCu